Record 1
VASP calculation (PBE) on SrAlSi2S6 after structural relaxation.

Computed properties:
DOS at the Fermi energy   5.4 states/eV per cell
E_form (uncorrected)   -0.86 eV/atom
Magnetization   0.00 μB per cell
Space group   No. 15

Cell: 7.8582 8.6552 8.6552 Å, 77.55 66.39 66.39°
With the nearest neighbours (Å) after each atom.
Atoms (fractional coordinates):
S 0.1066 0.7100 0.5993  1 Si 2.13
S 0.3934 0.4007 0.2900  1 Si 2.13
S 0.5572 0.1209 0.6123  1 Si 2.17, 1 Al 2.26
S 0.8934 0.2900 0.4007  1 Si 2.13
S 0.4428 0.8791 0.3877  1 Si 2.17, 1 Al 2.26
S 0.6676 0.8235 0.9591  1 Si 2.18, 1 Al 2.30
S 0.3324 0.1765 0.0409  1 Si 2.18, 1 Al 2.30
S 0.9428 0.3877 0.8791  1 Si 2.17, 1 Al 2.26
S 0.1676 0.9591 0.8235  1 Si 2.18, 1 Al 2.30
S 0.6066 0.5993 0.7100  1 Si 2.13
S 0.8324 0.0409 0.1765  1 Si 2.18, 1 Al 2.30
S 0.0572 0.6123 0.1209  1 Si 2.17, 1 Al 2.26
Si 0.3577 0.7649 0.6425  3 S 2.13-2.18
Si 0.8577 0.6425 0.7649  3 S 2.13-2.18
Si 0.6423 0.2351 0.3575  3 S 2.13-2.18
Si 0.1423 0.3575 0.2351  3 S 2.13-2.18
Sr 0.2500 0.8142 0.1858  8 S 2.98-3.33
Sr 0.7500 0.1858 0.8142  8 S 2.98-3.33
Al 0.7500 0.8110 0.1890  4 S 2.26-2.30
Al 0.2500 0.1890 0.8110  4 S 2.26-2.30


Record 2
VASP calculation (PBE) on TiSn2Br after structural relaxation.

Computed properties:
Polymorph energy (0 for the lowest one)   0 meV/atom
DOS at the Fermi energy   8.7 states/eV per cell
E_form (uncorrected)   0.18 eV/atom
Magnetization   4.26 μB per cell
Space group   No. 122

Cell: 4.1767 4.1767 12.2064 Å, 80.15 80.15 90.00°
With the nearest neighbours (Å) after each atom.
Atoms (fractional coordinates):
Ti 0.2500 0.7500 0.5000  4 Br 2.95, 4 Sn 3.30
Ti 0.5000 0.5000 0.0000  4 Br 2.95, 4 Sn 3.30
Br 0.7500 0.2500 0.5000  4 Ti 2.95
Br 0.0000 0.0000 0.0000  4 Ti 2.95
Sn 0.1356 0.6250 0.2500  4 Sn 2.89-3.02
Sn 0.8750 0.8644 0.7500  4 Sn 2.89-3.02
Sn 0.3750 0.3856 0.7500  4 Sn 2.89-3.02
Sn 0.6144 0.1250 0.2500  4 Sn 2.89-3.02


Record 3
VASP calculation (PBE) on AlZn2Se after structural relaxation.

Computed properties:
Polymorph energy (0 for the lowest one)   114 meV/atom
DOS at the Fermi energy   0.9 states/eV per cell
E_form (uncorrected)   -0.03 eV/atom
Magnetization   0.00 μB per cell
Space group   No. 47

Cell: 3.4430 2.7790 7.5282 Å, 89.99 90.00 90.00°
With the nearest neighbours (Å) after each atom.
Atoms (fractional coordinates):
Zn 0.0000 0.7518 0.0183  2 Se 2.65, 2 Zn 2.78, 4 Al 2.82
Zn 0.0000 0.7482 0.4817  2 Se 2.65, 2 Zn 2.78, 4 Al 2.82
Se 0.5000 0.7500 0.7500  4 Zn 2.65, 2 Se 2.78
Al 0.5000 0.2500 0.2500  2 Al 2.78, 8 Zn 2.82


Record 4
VASP calculation (PBE) on TaCdFe after structural relaxation.

Computed properties:
Polymorph energy (0 for the lowest one)   122 meV/atom
DOS at the Fermi energy   2.2 states/eV per cell
Energy relative to the elements   333 meV/atom
Magnetization   1.34 μB per cell
Space group   No. 156

Cell: 4.5275 4.5275 2.7686 Å, 90.00 90.00 120.00°
With the nearest neighbours (Å) after each atom.
Atoms (fractional coordinates):
Ta 0.3333 0.6667 0.6052  3 Fe 2.72, 2 Ta 2.77, 6 Cd 2.90-3.02
Fe 0.6667 0.3333 0.3374  3 Ta 2.72, 3 Cd 2.73, 2 Fe 2.77
Cd 0.0000 0.0000 0.0575  3 Fe 2.73, 2 Cd 2.77, 6 Ta 2.90-3.02


Record 5
VASP calculation (PBE) on BaV2Ni after structural relaxation.

Computed properties:
Polymorph energy (0 for the lowest one)   0 meV/atom
DOS at the Fermi energy   11.3 states/eV per cell
Energy relative to the elements   945 meV/atom
Magnetization   3.95 μB per cell
Space group   No. 141

Cell: 4.6446 4.6446 9.4128 Å, 75.72 75.72 90.00°
With the nearest neighbours (Å) after each atom.
Atoms (fractional coordinates):
Ni 0.2500 0.7500 0.5000  4 V 2.49
Ni 0.5000 0.5000 0.0000  4 V 2.49
Ba 0.7500 0.2500 0.5000  4 Ni 3.28, 8 V 3.41
Ba 0.0000 0.0000 0.0000  4 Ni 3.28, 8 V 3.41
V 0.3750 0.1250 0.2500  2 V 2.32, 2 Ni 2.49
V 0.3750 0.6250 0.7500  2 V 2.32, 2 Ni 2.49
V 0.8750 0.6250 0.7500  2 V 2.32, 2 Ni 2.49
V 0.3750 0.6250 0.2500  2 V 2.32, 2 Ni 2.49


Record 6
VASP calculation (PBE) on LaNO3 after structural relaxation.

Computed properties:
DOS at the Fermi energy   10.1 states/eV per cell
E_form (uncorrected)   0.60 eV/atom
Magnetization   0.01 μB per cell
Space group   No. 221

Cell: 4.3131 4.3131 4.3131 Å, 90.00 90.00 90.00°
With the nearest neighbours (Å) after each atom.
Atoms (fractional coordinates):
O 0.0000 0.0000 0.5000  2 La 2.16
O 0.5000 0.0000 0.0000  2 La 2.16
O 0.0000 0.5000 0.0000  2 La 2.16
N 0.5000 0.5000 0.5000  12 O 3.05
La 0.0000 0.0000 0.0000  6 O 2.16